[1]
A relaxed structure of K2CoAuO4. Source: OQMD, functional PBE+U.

Computed properties:
Total magnetization (μB per cell): 2.00
SG: Amm2
Total energy (eV per atom): -4.829
V (A^3/atom): 18.1

Lattice parameters (Å, degrees): 5.7950 6.2762 6.2762 39.45 90.00 90.00
Closest atoms and distances in Å follow each position.
Sites, in units of the cell vectors:
K (0.0000, 0.2051, 0.2051)  6 O 2.72-2.86
K (0.5000, 0.7969, 0.7969)  6 O 2.62-2.73
Co (0.5000, 0.5024, 0.5024)  4 O 1.84
O (0.2655, 0.6076, 0.6076)  1 Co 1.84, 1 Au 2.02
O (0.2757, 0.3919, 0.3919)  1 Co 1.84, 1 Au 2.02
O (0.7345, 0.6076, 0.6076)  1 Co 1.84, 1 Au 2.02
O (0.7243, 0.3919, 0.3919)  1 Co 1.84, 1 Au 2.02
Au (0.0000, 0.4966, 0.4966)  4 O 2.02

=====

[2]
A relaxed structure of KCoAuO3. Source: OQMD, functional PBE+U.

Computed properties:
Total magnetization (μB per cell): 3.99
SG: Pnma
Total energy (eV per atom): -4.771
V (A^3/atom): 14.4

Lattice parameters (Å, degrees): 9.8973 3.0559 11.4265 90.00 90.00 90.00
Closest atoms and distances in Å follow each position.
Sites, in units of the cell vectors:
K (0.6372, 0.0000, 0.7611)  5 O 2.53-2.80
K (0.8628, 0.0000, 0.2611)  5 O 2.53-2.80
K (0.1372, 0.5000, 0.7389)  5 O 2.53-2.80
K (0.3628, 0.5000, 0.2389)  5 O 2.53-2.80
Au (0.5958, 0.5000, 0.0292)  2 O 2.09
Au (0.0958, 0.0000, 0.4708)  2 O 2.09
Au (0.4042, 0.0000, 0.9708)  2 O 2.09
Au (0.9042, 0.5000, 0.5292)  2 O 2.09
O (0.7322, 0.0000, 0.0704)  1 Co 1.84
O (0.4406, 0.0000, 0.4288)  3 Co 1.84-1.98
O (0.3306, 0.0000, 0.6195)  2 Co 1.93
O (0.7678, 0.0000, 0.5704)  1 Co 1.84
O (0.8306, 0.5000, 0.8805)  2 Co 1.93
O (0.1694, 0.0000, 0.1195)  2 Co 1.93
O (0.6694, 0.5000, 0.3805)  2 Co 1.93
O (0.2678, 0.5000, 0.9296)  1 Co 1.84
O (0.9406, 0.5000, 0.0712)  3 Co 1.84-1.98
O (0.5594, 0.5000, 0.5712)  3 Co 1.84-1.98
O (0.0594, 0.0000, 0.9288)  3 Co 1.84-1.98
O (0.2322, 0.5000, 0.4296)  1 Co 1.84
Co (0.3810, 0.5000, 0.5257)  6 O 1.84-1.98
Co (0.6190, 0.0000, 0.4743)  6 O 1.84-1.98
Co (0.8810, 0.0000, 0.9743)  6 O 1.84-1.98
Co (0.1190, 0.5000, 0.0257)  6 O 1.84-1.98

=====

- Which value of total magnetization does entry 1 give?
  2.00 μB per cell